No. 1
The following is a PBE-GGA calculation of a relaxed Co2AgBr8 crystal, from the Alexandria database.

Energy relative to the elements, uncorrected, eV per atom: -0.231
Symmetry: C2/c, No. 15
Uncorrected energy, eV/atom: -2.999

Unit cell a=8.4759 b=10.4586 c=10.7570 alpha=73.26 beta=66.80 gamma=66.10
With the nearest neighbours (Å) after each atom.
Sites, in units of the cell vectors:
Co 0.8425 0.8608 0.9624  4 Br 2.27-2.33
Co 0.3343 0.3608 0.4624  4 Br 2.27-2.33
Co 0.6657 0.6392 0.5376  4 Br 2.27-2.33
Co 0.1575 0.1393 0.0376  4 Br 2.27-2.33
Br 0.3723 0.7658 0.5459  1 Co 2.27
Br 0.1542 0.9540 0.2207  1 Co 2.33
Br 0.7095 0.9515 0.1679  1 Co 2.33
Br 0.1873 0.2178 0.4586  1 Co 2.32
Br 0.2905 0.0485 0.8321  1 Co 2.33
Br 0.8638 0.2822 0.0414  1 Co 2.32
Br 0.8127 0.7822 0.5414  1 Co 2.32
Br 0.1711 0.4515 0.6679  1 Co 2.33
Br 0.1362 0.7178 0.9586  1 Co 2.32
Br 0.6840 0.7342 0.9541  1 Co 2.27
Br 0.6711 0.4540 0.7207  1 Co 2.33
Br 0.3289 0.5460 0.2793  1 Co 2.33
Br 0.3160 0.2658 0.0459  1 Co 2.27
Br 0.8289 0.5485 0.3321  1 Co 2.33
Br 0.6277 0.2342 0.4541  1 Co 2.27
Br 0.8458 0.0460 0.7793  1 Co 2.33
Ag 0.0061 0.7500 0.2500  6 Br 2.77-2.96
Ag 0.9939 0.2500 0.7500  6 Br 2.77-2.96

=====

No. 2
The following is a PBE-GGA calculation of a relaxed Na3PtI6 crystal, from the Alexandria database.

Energy relative to the elements, uncorrected, eV per atom: -0.717
Symmetry: P2_1/c, No. 14
Uncorrected energy, eV/atom: -2.647

Unit cell a=7.6342 b=7.9920 c=11.7838 alpha=90.00 beta=96.24 gamma=90.00
With the nearest neighbours (Å) after each atom.
Sites, in units of the cell vectors:
Na 0.5245 0.8913 0.7371  6 I 3.19-3.52
Na 0.5000 0.5000 0.0000  6 I 3.20-3.29
Na 0.4755 0.1087 0.2629  6 I 3.19-3.52
Na 0.0245 0.6087 0.2371  6 I 3.19-3.52
Na 0.0000 0.0000 0.5000  6 I 3.20-3.29
Na 0.9755 0.3913 0.7629  6 I 3.19-3.52
Pt 0.5000 0.5000 0.5000  4 I 2.69
Pt 0.0000 0.0000 0.0000  4 I 2.69
I 0.7104 0.1704 0.9159  1 Pt 2.69
I 0.6618 0.2096 0.5603  1 Pt 2.69
I 0.6336 0.4779 0.2662  1 Pt 3.05, 3 Na 3.19-3.22
I 0.3664 0.5221 0.7338  1 Pt 3.05, 3 Na 3.19-3.22
I 0.3382 0.7904 0.4397  1 Pt 2.69
I 0.2896 0.8296 0.0841  1 Pt 2.69
I 0.2104 0.3296 0.4159  1 Pt 2.69
I 0.1618 0.2904 0.0603  1 Pt 2.69
I 0.1336 0.0221 0.7662  1 Pt 3.05, 3 Na 3.19-3.22
I 0.8664 0.9779 0.2338  1 Pt 3.05, 3 Na 3.19-3.22
I 0.8382 0.7096 0.9397  1 Pt 2.69
I 0.7896 0.6704 0.5841  1 Pt 2.69

=====

Q: Which value of uncorrected energy does entry 1 give?
A: -2.999 eV/atom

=====

Q: Which formula does entry 1 have?
A: Co2AgBr8